Computed, not measured: a geometry-optimized LiCeGe2Pt structure at the GGA-PBE level of DFT.

Geometry as CIF:
```
data_LiCeGe2Pt
_cell_length_a 4.165
_cell_length_b 4.165
_cell_length_c 10.676
_cell_angle_alpha 90.00
_cell_angle_beta 90.00
_cell_angle_gamma 90.00
_symmetry_space_group_name_H-M 'I -4 m 2'
_symmetry_Int_Tables_number 119
_symmetry_space_group_name_Hall 'I -4 -2'
loop_
_atom_site_label
_atom_site_fract_x
_atom_site_fract_y
_atom_site_fract_z
Li1 0.000 0.000 0.000
Ce1 0.000 0.500 0.750
Ge1 0.000 0.500 0.134
Pt1 0.000 0.000 0.500
```

=====

Computed, not measured: a geometry-optimized Pu2HgC2 structure at the GGA-PBE level of DFT.

Geometry as CIF:
```
data_Pu2HgC2
_cell_length_a 15.853
_cell_length_b 3.982
_cell_length_c 6.232
_cell_angle_alpha 90.00
_cell_angle_beta 100.54
_cell_angle_gamma 90.00
_symmetry_space_group_name_H-M 'C 1 2/c 1'
_symmetry_Int_Tables_number 15
loop_
_symmetry_equiv_pos_as_xyz
'x,y,z'
'-x,-y,-z'
'-x,y,-z+1/2'
'x,-y,z+1/2'
'x+1/2,y+1/2,z'
'-x+1/2,-y+1/2,-z'
'-x+1/2,y+1/2,-z+1/2'
'x+1/2,-y+1/2,z+1/2'
loop_
_atom_site_label
_atom_site_fract_x
_atom_site_fract_y
_atom_site_fract_z
Pu1 0.159 0.164 0.147
Hg1 0.000 0.360 0.750
C1 0.225 0.382 0.525
```

=====

| no. | energy relative to the elements (eV per atom) | calculated density (g/cm3) | D(E_F) (states/eV/cell) |
| --- | --- | --- | --- |
| 1 | -0.80 | 8.74 | 9.278 |
| 2 | -0.06 | 12.24 | 60.166 |